Record 1
# Rh2SeBr

Crystalline Rh2SeBr at its relaxed geometry (GGA-PBE, Alexandria via LeMat-Bulk).

## Properties
ΔE to the lowest computed polymorph in meV/atom: 90
ΔE_f (raw) in eV/atom: 0.052
Space group: P4mm (99)

a = 3.4770 Å, b = 3.4770 Å, c = 6.2785 Å
α = 90.00°, β = 90.00°, γ = 90.00°
With the nearest neighbours (Å) after each atom.
Element x y z (fractional)
Rh 0.5000 0.5000 0.2532  1 Br 2.53, 4 Se 2.61
Rh 0.0000 0.0000 0.0049  1 Se 2.43, 4 Br 2.64
Br 0.5000 0.5000 0.8502  5 Rh 2.53-2.64
Se 0.0000 0.0000 0.3916  5 Rh 2.43-2.61

Record 2
# Rh2SeBr

Crystalline Rh2SeBr at its relaxed geometry (GGA-PBE, Alexandria via LeMat-Bulk).

## Properties
ΔE to the lowest computed polymorph in meV/atom: 288
ΔE_f (raw) in eV/atom: 0.250
Space group: P4/mmm (123)

a = 3.2002 Å, b = 3.2002 Å, c = 6.7586 Å
α = 90.00°, β = 90.00°, γ = 90.00°
With the nearest neighbours (Å) after each atom.
Element x y z (fractional)
Rh 0.0000 0.0000 0.4552  4 Se 2.65, 1 Rh 2.77
Se 0.5000 0.5000 0.2500  8 Rh 2.65
Br 0.5000 0.5000 0.7500  8 Rh 3.01, 4 Br 3.20
Rh 0.0000 0.0000 0.0448  4 Se 2.65, 1 Rh 2.77

Record 3
# RhSe3Br

Crystalline RhSe3Br at its relaxed geometry (GGA-PBE, Alexandria via LeMat-Bulk).

## Properties
ΔE to the lowest computed polymorph in meV/atom: 939
ΔE_f (raw) in eV/atom: 1.368
Space group: Pm-3m (221)

a = 5.1058 Å, b = 5.1058 Å, c = 5.1058 Å
α = 90.00°, β = 90.00°, γ = 90.00°
With the nearest neighbours (Å) after each atom.
Element x y z (fractional)
Se 0.5000 0.0000 0.0000  2 Br 2.55
Br 0.0000 0.0000 0.0000  6 Se 2.55
Rh 0.5000 0.5000 0.5000  12 Se 3.61
Se 0.0000 0.0000 0.5000  2 Br 2.55
Se 0.0000 0.5000 0.0000  2 Br 2.55

Record 4
# RhSeBr3

Crystalline RhSeBr3 at its relaxed geometry (GGA-PBE, Alexandria via LeMat-Bulk).

## Properties
ΔE to the lowest computed polymorph in meV/atom: 0
ΔE_f (raw) in eV/atom: 0.342
Space group: Pm-3m (221)

a = 5.0765 Å, b = 5.0765 Å, c = 5.0765 Å
α = 90.00°, β = 90.00°, γ = 90.00°
With the nearest neighbours (Å) after each atom.
Element x y z (fractional)
Rh 0.0000 0.0000 0.0000  6 Br 2.54
Br 0.0000 0.5000 0.0000  2 Rh 2.54
Br 0.0000 0.0000 0.5000  2 Rh 2.54
Se 0.5000 0.5000 0.5000  12 Br 3.59
Br 0.5000 0.0000 0.0000  2 Rh 2.54

Record 5
# Rh2SeBr

Crystalline Rh2SeBr at its relaxed geometry (GGA-PBE, Alexandria via LeMat-Bulk).

## Properties
ΔE to the lowest computed polymorph in meV/atom: 343
ΔE_f (raw) in eV/atom: 0.305
Space group: Immm (71)

a = 5.3335 Å, b = 5.3335 Å, c = 5.3335 Å
α = 140.09°, β = 96.42°, γ = 96.96°
With the nearest neighbours (Å) after each atom.
Element x y z (fractional)
Rh 0.5474 0.5474 0.0000  2 Se 2.32
Se 0.7500 0.2500 0.5000  4 Rh 2.32
Br 0.2500 0.7500 0.5000  4 Rh 2.78
Rh 0.9526 0.9526 0.0000  2 Se 2.32

Record 6
# RhSeBr

Crystalline RhSeBr at its relaxed geometry (GGA-PBE, Alexandria via LeMat-Bulk).

## Properties
ΔE_f (raw) in eV/atom: -0.450
Space group: P2_1/m (11)

a = 3.6102 Å, b = 6.6233 Å, c = 6.3372 Å
α = 93.61°, β = 90.00°, γ = 90.00°
With the nearest neighbours (Å) after each atom.
Element x y z (fractional)
Br 0.2500 0.5892 0.7326  3 Rh 2.65
Se 0.2500 0.9146 0.3027  3 Rh 2.44
Br 0.7500 0.4108 0.2674  3 Rh 2.65
Se 0.7500 0.0854 0.6973  3 Rh 2.44
Rh 0.7500 0.7604 0.4947  3 Se 2.44, 3 Br 2.65
Rh 0.2500 0.2396 0.5053  3 Se 2.44, 3 Br 2.65